First-principles (PBE) data for a relaxed structure of Cs3LiSn2I9, as listed in the Alexandria database.

Unit cell a=8.637 b=8.637 c=10.587 alpha=90.00 beta=90.00 gamma=120.00
Atoms (fractional coordinates):
Cs  0.000  0.000  0.000
Cs  0.333  0.667  0.661
Cs  0.667  0.333  0.339
Li  0.000  0.000  0.500
Sn  0.333  0.667  0.178
Sn  0.667  0.333  0.822
I  0.000  0.500  0.000
I  0.166  0.331  0.338
I  0.166  0.834  0.338
I  0.331  0.166  0.662
I  0.500  0.000  0.000
I  0.500  0.500  0.000
I  0.669  0.834  0.338
I  0.834  0.166  0.662
I  0.834  0.669  0.662

Calculated values
symmetry = P-3m1, No. 164
ΔE_f (raw) = -0.984 eV per atom
total DFT energy (no corrections) = -2.7460 eV per atom
crystal system = trigonal

---

First-principles (PBE) data for a relaxed structure of Cs2LiSnI6, as listed in the Alexandria database.

Unit cell a=8.520 b=8.520 c=8.520 alpha=60.00 beta=60.00 gamma=60.00
Atoms (fractional coordinates):
Cs  0.250  0.250  0.250
Cs  0.750  0.750  0.750
Li  0.000  0.000  0.000
Sn  0.500  0.500  0.500
I  0.248  0.248  0.752
I  0.248  0.752  0.248
I  0.248  0.752  0.752
I  0.752  0.248  0.248
I  0.752  0.248  0.752
I  0.752  0.752  0.248

Calculated values
symmetry = Fm-3m, No. 225
relative energy among the computed polymorphs = 9 meV/atom
ΔE_f (raw) = -1.004 eV per atom
total DFT energy (no corrections) = -2.6966 eV per atom
crystal system = cubic

---

First-principles (PBE) data for a relaxed structure of Cs2SrLiI6, as listed in the Alexandria database.

Unit cell a=8.735 b=8.735 c=8.735 alpha=60.00 beta=60.00 gamma=60.00
Atoms (fractional coordinates):
Cs  0.250  0.250  0.250
Cs  0.750  0.750  0.750
Sr  0.000  0.000  0.000
Li  0.500  0.500  0.500
I  0.262  0.262  0.738
I  0.262  0.738  0.262
I  0.262  0.738  0.738
I  0.738  0.262  0.262
I  0.738  0.262  0.738
I  0.738  0.738  0.262

Calculated values
symmetry = Fm-3m, No. 225
ΔE_f (raw) = -1.294 eV per atom
total DFT energy (no corrections) = -2.7543 eV per atom
crystal system = cubic

---

First-principles (PBE) data for a relaxed structure of CsSrLiI4, as listed in the Alexandria database.

Unit cell a=7.779 b=8.215 c=10.494 alpha=90.00 beta=109.33 gamma=90.00
Atoms (fractional coordinates):
Cs  0.246  0.250  0.055
Cs  0.754  0.750  0.945
Sr  0.222  0.250  0.552
Sr  0.778  0.750  0.448
Li  0.229  0.750  0.326
Li  0.771  0.250  0.674
I  0.016  0.504  0.710
I  0.016  0.996  0.710
I  0.426  0.750  0.155
I  0.456  0.750  0.583
I  0.544  0.250  0.417
I  0.574  0.250  0.845
I  0.984  0.004  0.290
I  0.984  0.496  0.290

Calculated values
symmetry = P2_1/m, No. 11
ΔE_f (raw) = -1.512 eV per atom
total DFT energy (no corrections) = -3.0338 eV per atom
crystal system = monoclinic

---

First-principles (PBE) data for a relaxed structure of CsSr4Li3I12, as listed in the Alexandria database.

Unit cell a=10.448 b=10.448 c=10.448 alpha=109.47 beta=109.47 gamma=109.47
Atoms (fractional coordinates):
Cs  0.000  0.000  0.000
Sr  0.000  0.000  0.500
Sr  0.000  0.500  0.000
Sr  0.500  0.000  0.000
Sr  0.500  0.500  0.500
Li  0.000  0.500  0.500
Li  0.500  0.000  0.500
Li  0.500  0.500  0.000
I  0.154  0.321  0.833
I  0.167  0.488  0.321
I  0.167  0.846  0.679
I  0.321  0.167  0.488
I  0.321  0.833  0.154
I  0.488  0.321  0.167
I  0.512  0.679  0.833
I  0.679  0.167  0.846
I  0.679  0.833  0.512
I  0.833  0.154  0.321
I  0.833  0.512  0.679
I  0.846  0.679  0.167

Calculated values
symmetry = Im-3, No. 204
ΔE_f (raw) = -1.492 eV per atom
total DFT energy (no corrections) = -3.0882 eV per atom
crystal system = cubic

---

First-principles (PBE) data for a relaxed structure of CsSr3Li4I12, as listed in the Alexandria database.

Unit cell a=10.694 b=10.694 c=10.694 alpha=108.13 beta=108.13 gamma=108.13
Atoms (fractional coordinates):
Cs  0.000  0.000  0.000
Sr  0.000  0.556  0.444
Sr  0.444  0.000  0.556
Sr  0.556  0.444  0.000
Li  0.063  0.500  0.937
Li  0.500  0.500  0.500
Li  0.500  0.937  0.063
Li  0.937  0.063  0.500
I  0.046  0.655  0.782
I  0.095  0.905  0.500
I  0.218  0.345  0.954
I  0.345  0.655  0.500
I  0.345  0.954  0.218
I  0.500  0.095  0.905
I  0.500  0.345  0.655
I  0.655  0.500  0.345
I  0.655  0.782  0.046
I  0.782  0.046  0.655
I  0.905  0.500  0.095
I  0.954  0.218  0.345

Calculated values
symmetry = R32, No. 155
ΔE_f (raw) = -1.314 eV per atom
total DFT energy (no corrections) = -2.9221 eV per atom
crystal system = trigonal

---

Q: Among the records above, which one has the highest total DFT energy (no corrections)?
A: Cs2LiSnI6